# CdInBr2 GGA-PBE optimized geometry
data_CdInBr2
_chemical_formula_sum 'Cd3 In3 Br6'
_cell_length_a 4.0391
_cell_length_b 4.0391
_cell_length_c 27.0977
_cell_angle_alpha 90.00
_cell_angle_beta 90.00
_cell_angle_gamma 120.00
_space_group_name_H-M_alt 'R 3 m'
_space_group_IT_number 160
_space_group_name_Hall 'R 3 -2"'
loop_
_atom_site_label
_atom_site_type_symbol
_atom_site_fract_x
_atom_site_fract_y
_atom_site_fract_z
Cd1 Cd 0.0000 0.0000 0.0000
In1 In 0.0000 0.0000 0.2589
Br1 Br 0.0000 0.0000 0.5258
Br2 Br 0.0000 0.0000 0.7261
# * VASP energy: -2.301 eV per atom
# * formation energy without anion corrections: -0.551 eV/atom

***

# CdIn2Br2 GGA-PBE optimized geometry
data_CdIn2Br2
_chemical_formula_sum 'Cd2 In4 Br4'
_cell_length_a 8.4540
_cell_length_b 8.4540
_cell_length_c 4.5250
_cell_angle_alpha 90.00
_cell_angle_beta 90.00
_cell_angle_gamma 90.00
_space_group_name_H-M_alt 'P 4/m b m'
_space_group_IT_number 127
_space_group_name_Hall '-P 4 2ab'
loop_
_atom_site_label
_atom_site_type_symbol
_atom_site_fract_x
_atom_site_fract_y
_atom_site_fract_z
Cd1 Cd 0.0000 0.0000 0.0000
In1 In 0.1444 0.3556 0.0000
Br1 Br 0.1687 0.6687 0.5000
# * VASP energy: -2.367 eV per atom
# * formation energy without anion corrections: -0.419 eV/atom

***

# CdIn2Br5 GGA-PBE optimized geometry
data_CdIn2Br5
_chemical_formula_sum 'Cd4 In8 Br20'
_cell_length_a 5.8711
_cell_length_b 14.3486
_cell_length_c 14.2152
_cell_angle_alpha 90.00
_cell_angle_beta 90.00
_cell_angle_gamma 90.00
_space_group_name_H-M_alt 'C m c m'
_space_group_IT_number 63
_space_group_name_Hall '-C 2c 2'
loop_
_atom_site_label
_atom_site_type_symbol
_atom_site_fract_x
_atom_site_fract_y
_atom_site_fract_z
Cd1 Cd 0.0000 0.1938 0.2500
In1 In 0.0000 0.1495 0.5749
Br1 Br 0.0000 0.0578 0.1144
Br2 Br 0.0000 0.2887 0.7500
Br3 Br 0.0000 0.3260 0.0990
# * VASP energy: -2.520 eV per atom
# * formation energy without anion corrections: -0.675 eV/atom

***

# CdIn2Br6 GGA-PBE optimized geometry
data_CdIn2Br6
_chemical_formula_sum 'Cd4 In8 Br24'
_cell_length_a 16.9920
_cell_length_b 12.9414
_cell_length_c 7.1288
_cell_angle_alpha 90.00
_cell_angle_beta 102.59
_cell_angle_gamma 90.00
_space_group_name_H-M_alt 'C 1 2/c 1'
_space_group_IT_number 15
loop_
_space_group_symop_operation_xyz
'x,y,z'
'-x,-y,-z'
'-x,y,-z+1/2'
'x,-y,z+1/2'
'x+1/2,y+1/2,z'
'-x+1/2,-y+1/2,-z'
'-x+1/2,y+1/2,-z+1/2'
'x+1/2,-y+1/2,z+1/2'
loop_
_atom_site_label
_atom_site_type_symbol
_atom_site_fract_x
_atom_site_fract_y
_atom_site_fract_z
Cd1 Cd 0.0000 0.0014 0.2500
In1 In 0.0843 0.3977 0.2821
Br1 Br 0.0841 0.1078 0.5464
Br2 Br 0.1412 0.4224 0.6651
Br3 Br 0.1724 0.2661 0.1744
# * VASP energy: -2.580 eV per atom
# * formation energy without anion corrections: -0.754 eV/atom

***

# CdInBr2 GGA-PBE optimized geometry
data_CdInBr2
_chemical_formula_sum 'Cd3 In3 Br6'
_cell_length_a 4.3452
_cell_length_b 4.3452
_cell_length_c 24.2922
_cell_angle_alpha 90.00
_cell_angle_beta 90.00
_cell_angle_gamma 120.00
_space_group_name_H-M_alt 'R 3 m'
_space_group_IT_number 160
_space_group_name_Hall 'R 3 -2"'
loop_
_atom_site_label
_atom_site_type_symbol
_atom_site_fract_x
_atom_site_fract_y
_atom_site_fract_z
Cd1 Cd 0.0000 0.0000 0.0000
In1 In 0.0000 0.0000 0.8323
Br1 Br 0.0000 0.0000 0.2523
Br2 Br 0.0000 0.0000 0.4123
# * VASP energy: -2.147 eV per atom
# * formation energy without anion corrections: -0.398 eV/atom

***

# Cd2InBr GGA-PBE optimized geometry
data_Cd2InBr
_chemical_formula_sum 'Cd4 In2 Br2'
_cell_length_a 4.8709
_cell_length_b 5.5179
_cell_length_c 7.9915
_cell_angle_alpha 90.00
_cell_angle_beta 90.00
_cell_angle_gamma 90.00
_space_group_name_H-M_alt 'C m m m'
_space_group_IT_number 65
_space_group_name_Hall '-C 2 2'
loop_
_atom_site_label
_atom_site_type_symbol
_atom_site_fract_x
_atom_site_fract_y
_atom_site_fract_z
Cd1 Cd 0.0000 0.0000 0.2443
In1 In 0.0000 0.5000 0.0000
Br1 Br 0.0000 0.5000 0.5000
# * VASP energy: -1.704 eV per atom
# * formation energy without anion corrections: -0.143 eV/atom

***

# CdInBr2 GGA-PBE optimized geometry
data_CdInBr2
_chemical_formula_sum 'Cd4 In4 Br8'
_cell_length_a 17.6741
_cell_length_b 5.6981
_cell_length_c 5.7599
_cell_angle_alpha 90.00
_cell_angle_beta 108.82
_cell_angle_gamma 90.00
_space_group_name_H-M_alt 'C 1 2/c 1'
_space_group_IT_number 15
loop_
_space_group_symop_operation_xyz
'x,y,z'
'-x,-y,-z'
'-x,y,-z+1/2'
'x,-y,z+1/2'
'x+1/2,y+1/2,z'
'-x+1/2,-y+1/2,-z'
'-x+1/2,y+1/2,-z+1/2'
'x+1/2,-y+1/2,z+1/2'
loop_
_atom_site_label
_atom_site_type_symbol
_atom_site_fract_x
_atom_site_fract_y
_atom_site_fract_z
Cd1 Cd 0.0000 0.0000 0.0000
In1 In 0.2500 0.2500 0.0000
Br1 Br 0.1354 0.2593 0.3883
# * VASP energy: -2.180 eV per atom
# * formation energy without anion corrections: -0.430 eV/atom

***

# CdInBr2 GGA-PBE optimized geometry
data_CdInBr2
_chemical_formula_sum 'Cd1 In1 Br2'
_cell_length_a 3.9598
_cell_length_b 5.8609
_cell_length_c 5.8002
_cell_angle_alpha 90.00
_cell_angle_beta 90.82
_cell_angle_gamma 90.00
_space_group_name_H-M_alt 'P 1 m 1'
_space_group_IT_number 6
loop_
_space_group_symop_operation_xyz
'x,y,z'
'x,-y,z'
loop_
_atom_site_label
_atom_site_type_symbol
_atom_site_fract_x
_atom_site_fract_y
_atom_site_fract_z
Cd1 Cd 0.0000 0.0000 0.0000
In1 In 0.5187 0.5000 0.4872
Br1 Br 0.0004 0.5000 0.0084
Br2 Br 0.9993 0.0000 0.5017
# * VASP energy: -2.204 eV per atom
# * formation energy without anion corrections: -0.455 eV/atom

***

Question: The highest formation energy without anion corrections belongs to which entry?
Answer: Cd2InBr